1.
Compound: BaPaBi3
Source: Alexandria via LeMat-Bulk
Functional: PBE
Structure: optimized geometry

Energy of formation, meV/atom: -340.0
ΔE to the lowest computed polymorph, eV per atom: 0.000
Space-group type: No. 57

a = 16.153 Å, b = 6.559 Å, c = 6.783 Å
α = 90.00°, β = 90.00°, γ = 90.00°
Element x y z (fractional)
Ba: 0.180 0.030 0.250
Ba: 0.180 0.470 0.750
Ba: 0.820 0.530 0.250
Ba: 0.820 0.970 0.750
Pa: 0.414 0.750 0.000
Pa: 0.414 0.750 0.500
Pa: 0.586 0.250 0.000
Pa: 0.586 0.250 0.500
Bi: 0.008 0.750 0.000
Bi: 0.008 0.750 0.500
Bi: 0.272 0.534 0.250
Bi: 0.272 0.966 0.750
Bi: 0.417 0.175 0.250
Bi: 0.417 0.325 0.750
Bi: 0.583 0.675 0.250
Bi: 0.583 0.825 0.750
Bi: 0.728 0.034 0.250
Bi: 0.728 0.466 0.750
Bi: 0.992 0.250 0.000
Bi: 0.992 0.250 0.500

=====

2.
Compound: Ba2PaBiS6
Source: Alexandria via LeMat-Bulk
Functional: PBE
Structure: optimized geometry

Energy relative to the elements, uncorrected, eV/atom: -1.529
Space-group type: No. 12

a = 7.392 Å, b = 7.392 Å, c = 7.535 Å
α = 120.05°, β = 120.05°, γ = 60.01°
Element x y z (fractional)
Ba: 0.249 0.249 0.231
Ba: 0.751 0.751 0.769
Pa: 0.500 0.500 0.000
Bi: 0.000 0.000 0.500
S: 0.197 0.688 0.184
S: 0.259 0.259 0.659
S: 0.312 0.803 0.816
S: 0.688 0.197 0.184
S: 0.741 0.741 0.341
S: 0.803 0.312 0.816

=====

3.
Compound: Ba2BiPb
Source: Alexandria via LeMat-Bulk
Functional: PBE
Structure: optimized geometry

Energy of formation, meV/atom: -667.9
ΔE to the lowest computed polymorph, eV per atom: 0.000
Space-group type: No. 11

a = 7.082 Å, b = 4.839 Å, c = 10.375 Å
α = 90.00°, β = 106.75°, γ = 90.00°
Element x y z (fractional)
Ba: 0.195 0.250 0.429
Ba: 0.296 0.750 0.066
Ba: 0.704 0.250 0.934
Ba: 0.805 0.750 0.571
Bi: 0.132 0.250 0.793
Bi: 0.868 0.750 0.207
Pb: 0.376 0.750 0.704
Pb: 0.624 0.250 0.296

=====

4.
Compound: Ba3BiPb
Source: Alexandria via LeMat-Bulk
Functional: PBE
Structure: optimized geometry

Energy of formation, meV/atom: -330.6
ΔE to the lowest computed polymorph, eV per atom: 0.384
Space-group type: No. 221

a = 6.667 Å, b = 6.667 Å, c = 6.667 Å
α = 90.00°, β = 90.00°, γ = 90.00°
Element x y z (fractional)
Ba: 0.000 0.000 0.500
Ba: 0.000 0.500 0.000
Ba: 0.500 0.000 0.000
Bi: 0.000 0.000 0.000
Pb: 0.500 0.500 0.500

=====

5.
Compound: BaBiPb
Source: Alexandria via LeMat-Bulk
Functional: PBE
Structure: optimized geometry

Energy of formation, meV/atom: -537.1
ΔE to the lowest computed polymorph, eV per atom: 0.017
Space-group type: No. 71

a = 5.315 Å, b = 9.526 Å, c = 9.586 Å
α = 90.00°, β = 90.00°, γ = 90.00°
Element x y z (fractional)
Ba: 0.000 0.000 0.245
Ba: 0.000 0.000 0.755
Ba: 0.500 0.500 0.255
Ba: 0.500 0.500 0.745
Bi: 0.000 0.333 0.500
Bi: 0.000 0.667 0.500
Bi: 0.500 0.167 0.000
Bi: 0.500 0.833 0.000
Pb: 0.000 0.338 0.000
Pb: 0.000 0.662 0.000
Pb: 0.500 0.162 0.500
Pb: 0.500 0.838 0.500

=====

6.
Compound: BaBiPb
Source: Alexandria via LeMat-Bulk
Functional: PBE
Structure: optimized geometry

Energy of formation, meV/atom: -413.0
ΔE to the lowest computed polymorph, eV per atom: 0.141
Space-group type: No. 216

a = 8.087 Å, b = 8.087 Å, c = 8.087 Å
α = 90.00°, β = 90.00°, γ = 90.00°
Element x y z (fractional)
Ba: 0.000 0.000 0.000
Ba: 0.000 0.500 0.500
Ba: 0.500 0.000 0.500
Ba: 0.500 0.500 0.000
Bi: 0.250 0.250 0.250
Bi: 0.250 0.750 0.750
Bi: 0.750 0.250 0.750
Bi: 0.750 0.750 0.250
Pb: 0.000 0.000 0.500
Pb: 0.000 0.500 0.000
Pb: 0.500 0.000 0.000
Pb: 0.500 0.500 0.500

=====

| no. | DOS(E_F) (states/eV per cell) | total magnetization (μB per formula unit) |
| --- | --- | --- |
| 1 | 26.64 | 0.65 |
| 2 | 0.00 | 0.00 |
| 3 | 7.51 | 0.00 |
| 4 | 6.22 | 0.85 |
| 5 | 4.87 | 0.00 |
| 6 | 8.19 | 0.00 |